1.
Compound: Tb6AlGe2
Source: the Alexandria database
Functional: PBE
Structure: relaxed

Cell and atoms, written as POSCAR:
```
Tb6AlGe2
1.0
-4.815 4.841 5.139
4.815 -4.841 5.139
4.815 4.841 -5.139
Tb Al Ge
12 2 4
Cartesian
4.815 -2.845 3.361
2.923 0.000 2.597
6.707 0.000 2.597
3.095 2.635 0.000
6.536 2.635 0.000
0.000 1.997 1.778
4.815 2.845 3.361
-1.720 2.207 5.139
1.720 2.207 5.139
-1.892 4.841 2.542
1.892 4.841 2.542
0.000 7.686 1.778
4.815 0.000 0.000
0.000 4.841 0.000
1.510 0.000 0.000
8.121 0.000 0.000
0.000 0.000 3.878
0.000 0.000 6.400
```

## Properties
Calculated formation energy = -0.532 eV per atom
Density of states at the Fermi level = 7.0 states/eV/f.u.
Final energy = -5.06 eV per atom

***

2.
Compound: TbAlGe2
Source: the Alexandria database
Functional: PBE
Structure: relaxed

Cell and atoms, written as POSCAR:
```
TbAlGe2
1.0
4.080 0.000 0.000
0.000 4.080 0.000
0.000 0.000 19.410
Tb Al Ge
4 4 8
Cartesian
0.000 0.000 2.200
0.000 0.000 17.210
2.040 2.040 7.505
2.040 2.040 11.905
0.000 2.040 4.852
0.000 2.040 14.557
2.040 0.000 4.852
2.040 0.000 14.557
0.000 0.000 6.601
0.000 0.000 12.809
0.000 2.040 0.000
0.000 2.040 9.705
2.040 0.000 0.000
2.040 0.000 9.705
2.040 2.040 3.104
2.040 2.040 16.305
```

## Properties
Calculated formation energy = -0.469 eV per atom
Density of states at the Fermi level = 1.0 states/eV/f.u.
Final energy = -4.87 eV per atom